Crystalline PrNdY at its relaxed geometry, computed with PBE.

```
data_PrNdY
_chemical_formula_sum 'Pr2 Nd2 Y2'
_cell_length_a 6.3549
_cell_length_b 3.6712
_cell_length_c 9.1778
_cell_angle_alpha 90.00
_cell_angle_beta 103.59
_cell_angle_gamma 90.00
_space_group_name_H-M_alt 'C 1 m 1'
_space_group_IT_number 8
_space_group_name_Hall 'C -2y'
loop_
_atom_site_label
_atom_site_fract_x
_atom_site_fract_y
_atom_site_fract_z
Pr1 0.0000 0.0000 0.0000
Nd1 0.4420 0.0000 0.3431
Y1 0.2203 0.0000 0.6697
```

Output
E_form (eV per formula unit): 0.07
Offset from the most stable computed form (meV/atom): 10
DFT total energy (eV per cell): -31.9
M_tot (μB per cell): 0.00